Entry 1:
Computed, not measured: Th2CoAgPd after structural relaxation at the PBE level of DFT. Values from VASP.

Values from the calculation:
Fermi-level density of states ... 0.61 states/eV/atom
Calculated formation energy ... -0.41 eV per atom
Space group ... P2_1/m (11)

```
&SYSTEM
  ibrav = 0, nat = 10, ntyp = 4
/
ATOMIC_SPECIES
Th 232.04 Th.upf
Ag 107.87 Ag.upf
Co 58.93 Co.upf
Pd 106.42 Pd.upf
CELL_PARAMETERS angstrom
4.0110 0.0000 0.0000
0.0000 7.7980 -0.6505
0.0000 -3.9462 7.4706
ATOMIC_POSITIONS crystal
Th 0.7500 0.7564 0.6720
Ag 0.2500 0.8404 0.4196
Co 0.2500 0.8737 0.9364
Th 0.2500 0.2436 0.3280
Pd 0.7500 0.5171 0.2587
Co 0.7500 0.1263 0.0636
Th 0.7500 0.7561 0.0835
Ag 0.7500 0.1596 0.5804
Pd 0.2500 0.4829 0.7413
Th 0.2500 0.2439 0.9165
```

=====

Entry 2:
Computed, not measured: TiCo2AgPd after structural relaxation at the PBE level of DFT. Values from VASP.

Values from the calculation:
Fermi-level density of states ... 1.60 states/eV/atom
Calculated formation energy ... 1.07 eV per atom
Space group ... P4/mmm (123)

```
&SYSTEM
  ibrav = 0, nat = 5, ntyp = 4
/
ATOMIC_SPECIES
Pd 106.42 Pd.upf
Co 58.93 Co.upf
Ag 107.87 Ag.upf
Ti 47.87 Ti.upf
CELL_PARAMETERS angstrom
4.6230 0.0000 0.0000
0.0000 4.6230 0.0000
0.0000 0.0000 4.6034
ATOMIC_POSITIONS crystal
Pd 0.0000 0.0000 0.0000
Co 0.0000 0.5000 0.0000
Ag 0.5000 0.5000 0.5000
Co 0.5000 0.0000 0.0000
Ti 0.0000 0.0000 0.5000
```

=====

Entry 3:
Computed, not measured: VCoAgPd2 after structural relaxation at the PBE level of DFT. Values from VASP.

Values from the calculation:
Fermi-level density of states ... 2.48 states/eV/atom
Calculated formation energy ... 1.27 eV per atom
Space group ... P4/mmm (123)

```
&SYSTEM
  ibrav = 0, nat = 5, ntyp = 4
/
ATOMIC_SPECIES
Pd 106.42 Pd.upf
Ag 107.87 Ag.upf
Co 58.93 Co.upf
V 50.94 V.upf
CELL_PARAMETERS angstrom
-2.3025 3.7448 0.9980
-4.0172 -2.3021 -0.6303
-0.0134 -1.1686 4.3537
ATOMIC_POSITIONS crystal
Pd 0.5000 0.0000 0.0000
Ag 0.0000 0.5000 0.0000
Co 0.0000 0.0000 0.0000
Pd 0.0000 0.0000 0.5000
V 0.5000 0.5000 0.5000
```

=====

Entry 4:
Computed, not measured: YCo2AgPd after structural relaxation at the PBE level of DFT. Values from VASP.

Values from the calculation:
Fermi-level density of states ... 2.10 states/eV/atom
Calculated formation energy ... 1.09 eV per atom
Space group ... P4/mmm (123)

```
&SYSTEM
  ibrav = 0, nat = 5, ntyp = 4
/
ATOMIC_SPECIES
Co 58.93 Co.upf
Pd 106.42 Pd.upf
Y 88.91 Y.upf
Ag 107.87 Ag.upf
CELL_PARAMETERS angstrom
-2.7714 -1.3565 3.4399
-2.7857 -2.9961 -3.4258
2.8024 -3.5751 0.8479
ATOMIC_POSITIONS crystal
Co 0.0000 0.0000 0.5000
Pd 0.5000 0.5000 0.5000
Y 0.0000 0.5000 0.0000
Ag 0.0000 0.0000 0.0000
Co 0.5000 0.0000 0.0000
```

=====

Entry 5:
Computed, not measured: ZnCoAg2Pd after structural relaxation at the PBE level of DFT. Values from VASP.

Values from the calculation:
Fermi-level density of states ... 0.87 states/eV/atom
Calculated formation energy ... 0.88 eV per atom
Space group ... P4/mmm (123)

```
&SYSTEM
  ibrav = 0, nat = 5, ntyp = 4
/
ATOMIC_SPECIES
Ag 107.87 Ag.upf
Pd 106.42 Pd.upf
Zn 65.41 Zn.upf
Co 58.93 Co.upf
CELL_PARAMETERS angstrom
-2.8483 3.0236 2.2169
-3.4138 -2.7251 -0.6693
0.9091 -2.1440 4.0923
ATOMIC_POSITIONS crystal
Ag 0.0000 0.0000 0.5000
Ag 0.5000 0.0000 0.0000
Pd 0.5000 0.5000 0.5000
Zn 0.0000 0.0000 0.0000
Co 0.0000 0.5000 0.0000
```

=====

Entry 6:
Computed, not measured: ZrCoAgPd after structural relaxation at the PBE level of DFT. Values from VASP.

Values from the calculation:
Fermi-level density of states ... 0.45 states/eV/atom
Calculated formation energy ... -0.19 eV per atom
Space group ... F-43m (216)

```
&SYSTEM
  ibrav = 0, nat = 4, ntyp = 4
/
ATOMIC_SPECIES
Pd 106.42 Pd.upf
Co 58.93 Co.upf
Ag 107.87 Ag.upf
Zr 91.22 Zr.upf
CELL_PARAMETERS angstrom
4.5077 0.0000 0.0000
2.2539 3.9038 0.0000
2.2539 1.3013 3.6805
ATOMIC_POSITIONS crystal
Pd 0.2500 0.2500 0.2500
Co 0.7500 0.7500 0.7500
Ag 0.0000 0.0000 0.0000
Zr 0.5000 0.5000 0.5000
```

=====

Entry 7:
Computed, not measured: PmCoAg after structural relaxation at the PBE level of DFT. Values from VASP.

Values from the calculation:
Fermi-level density of states ... 0.69 states/eV/atom
Calculated formation energy ... -0.17 eV per atom
Polymorph energy (0 for the lowest one) ... 0 meV/atom
Space group ... Cmcm (63)

```
&SYSTEM
  ibrav = 0, nat = 6, ntyp = 3
/
ATOMIC_SPECIES
Ag 107.87 Ag.upf
Pm 145.00 Pm.upf
Co 58.93 Co.upf
CELL_PARAMETERS angstrom
3.8635 0.0000 0.0000
0.0000 3.7582 -0.8718
0.0000 -0.0001 8.5363
ATOMIC_POSITIONS crystal
Ag 0.2500 0.7067 0.4134
Pm 0.2500 0.8989 0.7978
Pm 0.7500 0.1011 0.2022
Co 0.7500 0.4661 0.9323
Co 0.2500 0.5339 0.0677
Ag 0.7500 0.2933 0.5866
```

=====

Entry 8:
Computed, not measured: Pm7Co2Ag2 after structural relaxation at the PBE level of DFT. Values from VASP.

Values from the calculation:
Fermi-level density of states ... 1.05 states/eV/atom
Calculated formation energy ... -0.06 eV per atom
Space group ... Cmmm (65)

```
&SYSTEM
  ibrav = 0, nat = 11, ntyp = 3
/
ATOMIC_SPECIES
Pm 145.00 Pm.upf
Co 58.93 Co.upf
Ag 107.87 Ag.upf
CELL_PARAMETERS angstrom
-1.6086 -2.6015 6.1316
-4.3244 -4.6648 -3.1141
5.4145 -3.2229 -2.6921
ATOMIC_POSITIONS crystal
Pm 0.4998 0.2400 0.5002
Pm 0.5003 0.7503 0.9998
Co 0.7011 0.0000 0.2989
Pm 0.5002 0.7600 0.4998
Co 0.2989 0.0000 0.7011
Ag 0.8247 0.5000 0.8247
Pm 0.9998 0.2497 0.5003
Pm 0.4997 0.2497 0.0002
Ag 0.1753 0.5000 0.1753
Pm 0.0000 0.0000 0.0000
Pm 0.0002 0.7503 0.4997
```

=====

Entry 9:
Computed, not measured: Pm4Co2Ag after structural relaxation at the PBE level of DFT. Values from VASP.

Values from the calculation:
Fermi-level density of states ... 0.78 states/eV/atom
Calculated formation energy ... -0.06 eV per atom
Polymorph energy (0 for the lowest one) ... 0 meV/atom
Space group ... C2 (5)

```
&SYSTEM
  ibrav = 0, nat = 14, ntyp = 3
/
ATOMIC_SPECIES
Co 58.93 Co.upf
Pm 145.00 Pm.upf
Ag 107.87 Ag.upf
CELL_PARAMETERS angstrom
-0.5563 -2.8229 -7.0865
-0.1451 -5.5540 5.2579
-5.9821 4.6489 1.2274
ATOMIC_POSITIONS crystal
Co 0.7438 0.8742 0.3683
Co 0.6255 0.2549 0.1304
Co 0.1240 0.4949 0.8694
Pm 0.3929 0.5118 0.2431
Ag 0.2494 0.7495 0.5001
Pm 0.3999 0.0187 0.2567
Co 0.5067 0.3754 0.6325
Pm 0.7615 0.1429 0.7434
Ag 0.9995 0.9994 0.9999
Pm 0.2683 0.1498 0.7568
Pm 0.8512 0.6049 0.1161
Pm 0.4883 0.7344 0.8837
Pm 0.9845 0.2385 0.3836
Pm 0.8546 0.6008 0.6159
```

=====

Entry 10:
Computed, not measured: Pm6CoAg after structural relaxation at the PBE level of DFT. Values from VASP.

Values from the calculation:
Fermi-level density of states ... 1.42 states/eV/atom
Calculated formation energy ... 0.00 eV per atom
Polymorph energy (0 for the lowest one) ... 0 meV/atom
Space group ... I4/mmm (139)

```
&SYSTEM
  ibrav = 0, nat = 8, ntyp = 3
/
ATOMIC_SPECIES
Pm 145.00 Pm.upf
Ag 107.87 Ag.upf
Co 58.93 Co.upf
CELL_PARAMETERS angstrom
-3.2811 3.2691 -2.2140
-2.5165 -3.9499 -2.1030
-8.1163 -0.7838 4.9169
ATOMIC_POSITIONS crystal
Pm 0.7510 0.7509 0.4982
Ag 0.5000 0.5000 0.0000
Co 0.0000 0.0000 0.0000
Pm 0.9012 0.4012 0.1976
Pm 0.5987 0.0988 0.8024
Pm 0.4013 0.9012 0.1976
Pm 0.2490 0.2491 0.5018
Pm 0.0988 0.5988 0.8024
```

=====

Entry 11:
Computed, not measured: Pm8Co2Ag after structural relaxation at the PBE level of DFT. Values from VASP.

Values from the calculation:
Fermi-level density of states ... 1.22 states/eV/atom
Calculated formation energy ... 0.00 eV per atom
Space group ... C2/m (12)

```
&SYSTEM
  ibrav = 0, nat = 11, ntyp = 3
/
ATOMIC_SPECIES
Pm 145.00 Pm.upf
Ag 107.87 Ag.upf
Co 58.93 Co.upf
CELL_PARAMETERS angstrom
-1.2389 4.5823 3.2087
-1.4844 -5.6058 5.3953
7.6487 1.5718 -1.3282
ATOMIC_POSITIONS crystal
Pm 0.9298 0.6615 0.9173
Pm 0.0702 0.3385 0.0827
Pm 0.9298 0.9173 0.6615
Pm 0.6906 0.3884 0.3884
Ag 0.5000 0.0000 0.0000
Co 0.0000 0.7106 0.2894
Co 0.0000 0.2894 0.7106
Pm 0.0702 0.0827 0.3385
Pm 0.5000 0.2392 0.7608
Pm 0.3094 0.6116 0.6116
Pm 0.5000 0.7608 0.2392
```

=====

Question: The highest calculated formation energy belongs to which entry?
Answer: VCoAgPd2

=====

Question: Number 7 is which compound?
Answer: PmCoAg

=====

What did the eighth record say?
Computed, not measured: Pm7Co2Ag2 after structural relaxation at the PBE level of DFT. Values from VASP.

Values from the calculation:
Fermi-level density of states ... 1.05 states/eV/atom
Calculated formation energy ... -0.06 eV per atom
Space group ... Cmmm (65)

```
&SYSTEM
  ibrav = 0, nat = 11, ntyp = 3
/
ATOMIC_SPECIES
Pm 145.00 Pm.upf
Co 58.93 Co.upf
Ag 107.87 Ag.upf
CELL_PARAMETERS angstrom
-1.6086 -2.6015 6.1316
-4.3244 -4.6648 -3.1141
5.4145 -3.2229 -2.6921
ATOMIC_POSITIONS crystal
Pm 0.4998 0.2400 0.5002
Pm 0.5003 0.7503 0.9998
Co 0.7011 0.0000 0.2989
Pm 0.5002 0.7600 0.4998
Co 0.2989 0.0000 0.7011
Ag 0.8247 0.5000 0.8247
Pm 0.9998 0.2497 0.5003
Pm 0.4997 0.2497 0.0002
Ag 0.1753 0.5000 0.1753
Pm 0.0000 0.0000 0.0000
Pm 0.0002 0.7503 0.4997
```